1.
LaCoCl2 | PBE | optimized geometry Values from VASP.

Structure (Quantum ESPRESSO input):
```
&SYSTEM
  ibrav = 0, nat = 4, ntyp = 3
/
ATOMIC_SPECIES
La 138.91 La.upf
Co 58.93 Co.upf
Cl 35.45 Cl.upf
ATOMIC_POSITIONS crystal
La 0.750 0.250 0.500
Co 0.500 0.500 0.000
Cl 0.000 0.000 0.000
Cl 0.250 0.750 0.500
CELL_PARAMETERS angstrom
5.658 -0.024 0.000
2.567 5.042 0.000
-4.112 -2.509 2.968
```

Results
**Symmetry**: I-4m2 (119)
**Relative energy among the computed polymorphs**: 387 meV/atom
**Crystal system**: tetragonal
**Formation energy without anion corrections**: -281 kJ/mol of formula units

---

2.
LaSmCuPb | PBE | optimized geometry Values from VASP.

Structure (Quantum ESPRESSO input):
```
&SYSTEM
  ibrav = 0, nat = 4, ntyp = 4
/
ATOMIC_SPECIES
Cu 63.55 Cu.upf
La 138.91 La.upf
Pb 207.20 Pb.upf
Sm 150.36 Sm.upf
ATOMIC_POSITIONS crystal
Cu 0.250 0.250 0.250
La 0.000 0.000 0.000
Pb 0.750 0.750 0.750
Sm 0.500 0.500 0.500
CELL_PARAMETERS angstrom
5.396 0.000 0.000
2.698 4.673 0.000
2.698 1.558 4.405
```

Results
**Symmetry**: F-43m (216)
**Energy relative to the elements**: -7.250 kcal/mol of atoms
**Crystal system**: cubic

---

3.
BSO | PBE | optimized geometry Values from VASP.

Structure (Quantum ESPRESSO input):
```
&SYSTEM
  ibrav = 0, nat = 6, ntyp = 3
/
ATOMIC_SPECIES
O 16.00 O.upf
S 32.06 S.upf
B 10.81 B.upf
ATOMIC_POSITIONS crystal
O 0.943 0.154 0.729
S 0.074 0.815 0.071
S 0.498 0.641 0.071
O 0.449 0.151 0.716
B 0.639 0.268 0.820
B 0.163 0.079 0.820
CELL_PARAMETERS angstrom
4.656 -1.232 -0.140
1.318 3.413 -1.097
2.421 0.230 5.622
```

Results
**Symmetry**: P1 (1)
**Relative energy among the computed polymorphs**: 48 meV/atom
**Crystal system**: triclinic
**Formation energy without anion corrections**: -392 kJ/mol of formula units

---

4.
La10Ge3Br3 | PBE | optimized geometry Values from VASP.

Structure (Quantum ESPRESSO input):
```
&SYSTEM
  ibrav = 0, nat = 16, ntyp = 3
/
ATOMIC_SPECIES
La 138.91 La.upf
Br 79.90 Br.upf
Ge 72.64 Ge.upf
ATOMIC_POSITIONS crystal
La 0.738 0.333 0.667
La 0.738 0.667 0.333
Br 0.000 0.620 0.000
Br 0.000 0.000 0.620
La 0.000 0.742 0.742
Ge 0.500 0.000 0.385
La 0.000 0.258 0.000
Ge 0.500 0.615 0.615
La 0.262 0.333 0.667
La 0.500 0.255 0.255
La 0.262 0.667 0.333
La 0.000 0.000 0.258
Br 0.000 0.380 0.380
Ge 0.500 0.385 0.000
La 0.500 0.745 0.000
La 0.500 0.000 0.745
CELL_PARAMETERS angstrom
6.486 0.000 0.000
0.000 7.953 -4.592
0.000 0.000 9.183
```

Results
**Symmetry**: P-62m (189)
**Crystal system**: hexagonal
**Formation energy without anion corrections**: -1215 kJ/mol of formula units

---

5.
BRh3Pb | PBE | optimized geometry Values from VASP.

Structure (Quantum ESPRESSO input):
```
&SYSTEM
  ibrav = 0, nat = 10, ntyp = 3
/
ATOMIC_SPECIES
B 10.81 B.upf
Pb 207.20 Pb.upf
Rh 102.91 Rh.upf
ATOMIC_POSITIONS crystal
B 0.165 0.165 0.165
Pb 0.333 0.333 0.333
Rh 0.771 0.447 0.110
Rh 0.890 0.229 0.553
Rh 0.447 0.110 0.771
B 0.835 0.835 0.835
Pb 0.667 0.667 0.667
Rh 0.553 0.890 0.229
Rh 0.110 0.771 0.447
Rh 0.229 0.553 0.890
CELL_PARAMETERS angstrom
-6.028 3.159 3.332
-3.635 0.002 6.649
-1.701 4.697 5.697
```

Results
**Symmetry**: R-3 (148)
**Energy relative to the elements**: -0.815 kcal/mol of atoms
**Relative energy among the computed polymorphs**: 188 meV/atom
**Crystal system**: trigonal

---

6.
PaAlCo | PBE | optimized geometry Values from VASP.

Structure (Quantum ESPRESSO input):
```
&SYSTEM
  ibrav = 0, nat = 3, ntyp = 3
/
ATOMIC_SPECIES
Pa 231.04 Pa.upf
Co 58.93 Co.upf
Al 26.98 Al.upf
ATOMIC_POSITIONS crystal
Pa 0.018 0.018 0.037
Co 0.679 0.679 0.358
Al 0.303 0.303 0.605
CELL_PARAMETERS angstrom
-0.183 0.992 2.851
0.792 -2.741 1.004
5.048 2.357 -2.100
```

Results
**Symmetry**: I4mm (107)
**Energy relative to the elements**: -8.034 kcal/mol of atoms
**Relative energy among the computed polymorphs**: 118 meV/atom
**Crystal system**: tetragonal

---

Number 1: final energy -4.660 eV/atom, Fermi-level density of states 0.8 states/eV per cell. Number 2: final energy -4.677 eV/atom, Fermi-level density of states 4.3 states/eV per cell. Number 3: final energy -6.607 eV/atom, Fermi-level density of states 0.0 states/eV per cell. Number 4: final energy -5.046 eV/atom, Fermi-level density of states 14.3 states/eV per cell. Number 5: final energy -6.523 eV/atom, Fermi-level density of states 10.4 states/eV per cell. Number 6: final energy -7.130 eV/atom, Fermi-level density of states 3.3 states/eV per cell.